Sr3MoBr: optimized geometry, GGA-PBE.

```
Sr3MoBr
1.0
5.797 0.000 0.000
0.000 5.797 0.000
0.000 0.000 5.797
Sr Mo Br
3 1 1
direct
0.000 0.000 0.500
0.000 0.500 0.000
0.500 0.000 0.000
0.000 0.000 0.000
0.500 0.500 0.500
```

Values from the calculation:
D(E_F)   4.48 states/eV/f.u.
Relative energy among the computed polymorphs   0 meV/atom
Space group   Pm-3m, No. 221
Formation energy (no corrections)   8.69 kcal/mol of atoms
Total energy   -3.133 eV/atom
Total magnetic moment   0.00 μB/f.u.

Sr2MoBr: optimized geometry, GGA-PBE.

```
Sr2MoBr
1.0
1.951 1.126 9.398
-1.951 1.126 9.398
0.000 -2.253 9.398
Sr Mo Br
2 1 1
direct
0.248 0.248 0.248
0.752 0.752 0.752
0.500 0.500 0.500
0.000 0.000 0.000
```

Values from the calculation:
D(E_F)   3.35 states/eV/f.u.
Relative energy among the computed polymorphs   57 meV/atom
Space group   R-3m, No. 166
Formation energy (no corrections)   1.59 kcal/mol of atoms
Total energy   -3.898 eV/atom
Total magnetic moment   2.30 μB/f.u.

SrMoBr: optimized geometry, GGA-PBE.

```
SrMoBr
1.0
0.000 3.915 3.915
3.915 0.000 3.915
3.915 3.915 0.000
Sr Mo Br
1 1 1
direct
0.000 0.000 0.000
0.250 0.250 0.250
0.750 0.750 0.750
```

Values from the calculation:
D(E_F)   0.80 states/eV/f.u.
Relative energy among the computed polymorphs   346 meV/atom
Space group   F-43m, No. 216
Formation energy (no corrections)   19.72 kcal/mol of atoms
Total energy   -3.873 eV/atom
Total magnetic moment   5.00 μB/f.u.

SrMoBr: optimized geometry, GGA-PBE.

```
SrMoBr
1.0
-1.819 1.819 6.449
1.819 -1.819 6.449
1.819 1.819 -6.449
Sr Mo Br
1 1 1
direct
0.000 0.000 0.000
0.324 0.324 0.000
0.655 0.655 0.000
```

Values from the calculation:
D(E_F)   2.28 states/eV/f.u.
Relative energy among the computed polymorphs   0 meV/atom
Space group   I4mm, No. 107
Formation energy (no corrections)   11.75 kcal/mol of atoms
Total energy   -4.219 eV/atom
Total magnetic moment   3.86 μB/f.u.

SrMoBr2: optimized geometry, GGA-PBE.

```
SrMoBr2
1.0
-2.164 2.164 6.169
2.164 -2.164 6.169
2.164 2.164 -6.169
Sr Mo Br
1 1 2
direct
0.000 0.000 0.000
0.750 0.250 0.500
0.250 0.750 0.500
0.500 0.500 0.000
```

Values from the calculation:
D(E_F)   2.76 states/eV/f.u.
Relative energy among the computed polymorphs   191 meV/atom
Space group   I-4m2, No. 119
Formation energy (no corrections)   -1.02 kcal/mol of atoms
Total energy   -4.009 eV/atom
Total magnetic moment   4.45 μB/f.u.

Sr2MoBr: optimized geometry, GGA-PBE.

```
Sr2MoBr
1.0
-2.167 3.441 4.928
2.167 -3.441 4.928
2.167 3.441 -4.928
Sr Mo Br
2 1 1
direct
0.228 0.228 0.000
0.772 0.772 0.000
0.500 0.000 0.500
0.000 0.500 0.500
```

Values from the calculation:
D(E_F)   3.41 states/eV/f.u.
Relative energy among the computed polymorphs   350 meV/atom
Space group   Immm, No. 71
Formation energy (no corrections)   8.35 kcal/mol of atoms
Total energy   -3.605 eV/atom
Total magnetic moment   4.23 μB/f.u.

Sr2MoBr: optimized geometry, GGA-PBE.

```
Sr2MoBr
1.0
3.760 0.000 0.000
0.000 3.772 0.000
-0.021 0.000 8.641
Sr Mo Br
2 1 1
direct
0.001 0.000 0.234
0.999 0.000 0.766
0.500 0.500 0.000
0.500 0.500 0.500
```

Values from the calculation:
D(E_F)   3.46 states/eV/f.u.
Relative energy among the computed polymorphs   0 meV/atom
Space group   P2/m, No. 10
Formation energy (no corrections)   0.27 kcal/mol of atoms
Total energy   -3.955 eV/atom
Total magnetic moment   2.75 μB/f.u.

SrMoBr: optimized geometry, GGA-PBE.

```
SrMoBr
1.0
0.000 3.693 3.693
3.693 0.000 3.693
3.693 3.693 0.000
Sr Mo Br
1 1 1
direct
0.000 0.000 0.000
0.500 0.500 0.500
0.750 0.750 0.750
```

Values from the calculation:
D(E_F)   0.50 states/eV/f.u.
Relative energy among the computed polymorphs   226 meV/atom
Space group   F-43m, No. 216
Formation energy (no corrections)   16.95 kcal/mol of atoms
Total energy   -3.993 eV/atom
Total magnetic moment   5.01 μB/f.u.